No. 1
TaReAsN2: PBEsol geometry, SCAN.

Structure (extended XYZ):
```
5
Lattice="3.9233 0.0000 0.0000 0.0000 3.9233 0.0000 0.0000 0.0000 5.3437" Properties=species:S:1:pos:R:3 pbc="T T T"
Ta 0.0000 0.0000 0.0000
Re 1.9617 1.9617 2.6719
As 0.0000 0.0000 2.6719
N 0.0000 1.9617 0.0000
N 1.9617 0.0000 0.0000
```

Results
* electronic total energy: -171.48 eV/f.u.
* formation energy (no corrections): 0.99 eV/atom
* density of states at the Fermi level: 0.46 states/eV/atom

No. 2
Tm2MgTl: PBEsol geometry, SCAN.

Structure (extended XYZ):
```
4
Lattice="0.0000 3.6760 3.6760 3.6760 0.0000 3.6760 3.6760 3.6760 0.0000" Properties=species:S:1:pos:R:3 pbc="T T T"
Tm 1.8380 1.8380 1.8380
Tm 5.5139 5.5139 5.5139
Mg 0.0000 0.0000 0.0000
Tl 3.6760 3.6760 3.6760
```

Results
* electronic total energy: -182.23 eV/f.u.
* E_form: -0.3095 eV/atom
* density of states at the Fermi level: 0.89 states/eV/atom

No. 3
Ta4InAg: PBEsol geometry, SCAN.

Structure (extended XYZ):
```
6
Lattice="0.0000 3.8426 3.8426 3.8426 0.0000 3.8426 3.8426 3.8426 0.0000" Properties=species:S:1:pos:R:3 pbc="T T T"
Ta 0.9566 0.9566 0.9566
Ta 2.8860 2.8860 0.9566
Ta 2.8860 0.9566 2.8860
Ta 0.9566 2.8860 2.8860
In 5.7639 5.7639 5.7639
Ag 3.8426 3.8426 3.8426
```

Results
* electronic total energy: -328.28 eV/f.u.
* E_form: 0.4680 eV/atom
* density of states at the Fermi level: 0.87 states/eV/atom

No. 4
BaHfW3: PBEsol geometry, SCAN.

Structure (extended XYZ):
```
5
Lattice="4.9473 0.0000 0.0000 0.0000 4.9473 0.0000 0.0000 0.0000 4.9473" Properties=species:S:1:pos:R:3 pbc="T T T"
Ba 0.0000 0.0000 0.0000
Hf 2.4737 2.4737 2.4737
W 0.0000 2.4737 2.4737
W 2.4737 0.0000 2.4737
W 2.4737 2.4737 0.0000
```

Results
* electronic total energy: -299.67 eV/f.u.
* E_form: 2.3240 eV/atom
* density of states at the Fermi level: 0.77 states/eV/atom

No. 5
Sn2H12Cl6O7: PBEsol geometry, SCAN.

Structure (extended XYZ):
```
54
Lattice="5.8628 -3.8873 0.0000 5.8628 3.8873 0.0000 -5.2559 0.0000 17.2692" Properties=species:S:1:pos:R:3 pbc="T T T"
Sn 0.6896 1.1368 7.2393
Sn -1.9383 -1.1368 15.8739
Sn 8.4081 1.1368 1.3953
Sn 5.7801 -1.1368 10.0299
H 3.6623 1.6349 2.1166
H 2.7977 2.1292 8.6426
H 1.0441 2.1292 17.2613
H 0.8721 0.1857 9.8045
H 1.1261 0.9728 12.8702
H 3.5391 1.3025 7.3546
H 5.5586 1.3025 1.2800
H 3.5001 -0.1857 1.1699
H 4.4702 0.4769 2.9458
H 5.4354 1.6349 6.5180
H 2.7157 0.9728 13.0336
H 4.6275 0.4769 5.6888
H 1.8422 -0.4769 11.5804
H 3.7540 -0.9728 4.2356
H 1.0344 -1.6349 10.7512
H 1.9996 -0.4769 14.3234
H 2.9697 0.1857 16.0994
H 0.9111 -1.3025 15.9892
H 2.9307 -1.3025 9.9146
H 5.3436 -0.9728 4.3990
H 5.5976 -0.1857 7.4647
H 5.4256 -2.1292 0.0080
H 3.6721 -2.1292 8.6266
H 2.8074 -1.6349 15.1526
Cl -0.6412 1.9590 12.2108
Cl 2.2535 3.1743 10.4985
Cl 1.5883 3.1743 15.4054
Cl -1.2770 1.1437 15.5238
Cl 1.3510 -1.1437 6.8891
Cl 4.4830 1.9590 13.6930
Cl 1.9867 -1.9590 3.5762
Cl 5.1188 1.1437 10.3801
Cl 7.7467 -1.1437 1.7455
Cl 4.8814 -3.1743 1.8638
Cl 4.2163 -3.1743 6.7708
Cl 7.1110 -1.9590 5.0584
O 0.3001 0.8429 9.2747
O 2.6792 1.4738 7.9064
O 4.3172 0.8905 2.0280
O 2.9281 -0.8429 0.6401
O 6.4185 1.4738 0.7282
O 1.9209 0.3729 12.9519
O 4.7805 0.8905 6.6067
O 1.6893 -0.8905 10.6626
O 4.5488 -0.3729 4.3173
O 0.0512 -1.4738 16.5410
O 3.5417 0.8429 16.6291
O 2.1525 -0.8905 15.2413
O 3.7905 -1.4738 9.3628
O 6.1696 -0.8429 7.9945
```

Results
* electronic total energy: -234.72 eV/f.u.
* density of states at the Fermi level: 0.00 states/eV/atom

No. 6
Rb2Te2P: PBEsol geometry, SCAN.

Structure (extended XYZ):
```
5
Lattice="-3.5215 3.5215 4.0419 3.5215 -3.5215 4.0419 3.5215 3.5215 -4.0419" Properties=species:S:1:pos:R:3 pbc="T T T"
Rb 3.5215 0.0000 2.0210
Rb 0.0000 3.5215 2.0210
Te 0.0000 0.0000 1.4776
Te 0.0000 0.0000 6.6062
P 0.0000 0.0000 4.0419
```

Results
* electronic total energy: -128.20 eV/f.u.
* formation energy (no corrections): -0.36 eV/atom
* density of states at the Fermi level: 0.66 states/eV/atom

No. 7
ZrMn2Ag: PBEsol geometry, SCAN.

Structure (extended XYZ):
```
4
Lattice="1.4250 0.8227 8.9129 -1.4250 0.8227 8.9129 0.0000 -1.6454 8.9129" Properties=species:S:1:pos:R:3 pbc="T T T"
Zr 0.0000 0.0000 0.0000
Mn 0.0000 0.0000 6.5202
Mn 0.0000 0.0000 13.7348
Ag 0.0000 0.0000 20.4038
```

Results
* excess energy over the best structure of this formula in the dataset: 0.146 eV/atom
* electronic total energy: -98.04 eV/f.u.
* E_form: 0.1336 eV/atom
* density of states at the Fermi level: 0.82 states/eV/atom

No. 8
La2ZnGa2S6O: PBEsol geometry, SCAN.

Structure (extended XYZ):
```
24
Lattice="9.2859 0.0000 0.0000 0.0000 9.2859 0.0000 0.0000 0.0000 6.0183" Properties=species:S:1:pos:R:3 pbc="T T T"
La 1.4418 3.2012 0.0456
La 3.2012 7.8441 5.9727
La 6.0848 1.4418 5.9727
La 7.8441 6.0848 0.0456
Zn 0.0000 0.0000 3.0092
Zn 4.6430 4.6430 3.0092
Ga 1.1982 5.8412 2.4778
Ga 3.4448 1.1982 3.5405
Ga 5.8412 8.0877 3.5405
Ga 8.0877 3.4448 2.4778
S 0.5984 7.7403 1.4334
S 1.2280 5.8710 4.6994
S 1.5456 0.5984 4.5849
S 3.0973 5.2414 1.4334
S 3.4150 1.2280 1.3190
S 4.0446 3.0973 4.5849
S 5.2414 6.1886 4.5849
S 5.8710 8.0579 1.3190
S 6.1886 4.0446 1.4334
S 7.7403 8.6875 4.5849
S 8.0579 3.4150 4.6994
S 8.6875 1.5456 1.4334
O 0.0000 4.6430 1.5761
O 4.6430 0.0000 4.4422
```

Results
* electronic total energy: -217.51 eV/f.u.
* formation energy (no corrections): -1.76 eV/atom
* density of states at the Fermi level: 0.00 states/eV/atom

No. 9
Sr3AlAg: PBEsol geometry, SCAN.

Structure (extended XYZ):
```
5
Lattice="6.1243 0.0000 0.0000 0.0000 6.1243 0.0000 0.0000 0.0000 6.1243" Properties=species:S:1:pos:R:3 pbc="T T T"
Sr 0.0000 0.0000 3.0622
Sr 0.0000 3.0622 0.0000
Sr 3.0622 0.0000 0.0000
Al 0.0000 0.0000 0.0000
Ag 3.0622 3.0622 3.0622
```

Results
* electronic total energy: -104.56 eV/f.u.
* E_form: 0.2761 eV/atom
* density of states at the Fermi level: 0.65 states/eV/atom

No. 10
YMg2In: PBEsol geometry, SCAN.

Structure (extended XYZ):
```
4
Lattice="4.4629 0.0000 0.0000 0.0000 4.4629 0.0000 0.0000 0.0000 4.7527" Properties=species:S:1:pos:R:3 pbc="T T T"
Y 0.0000 0.0000 0.0000
Mg 0.0000 2.2315 2.3763
Mg 2.2315 0.0000 2.3763
In 2.2315 2.2315 0.0000
```

Results
* electronic total energy: -72.73 eV/f.u.
* E_form: -0.3888 eV/atom
* density of states at the Fermi level: 0.53 states/eV/atom

No. 11
Na3Sr4La3Ti10O30: PBEsol geometry, SCAN.

Structure (extended XYZ):
```
50
Lattice="0.0000 19.3118 3.8974 3.8487 0.0000 3.8974 3.8487 19.3118 0.0000" Properties=species:S:1:pos:R:3 pbc="T T T"
Na 0.0000 0.0000 0.0000
Na 3.8487 15.4924 3.8349
Na 3.8487 23.1312 3.8349
Sr 3.8487 7.7251 3.7889
Sr 3.8487 11.6087 3.7981
Sr 3.8487 27.0149 3.7981
Sr 3.8487 30.8984 3.7889
La 3.8487 3.8623 3.7858
La 3.8487 19.3118 3.9306
La 3.8487 34.7613 3.7858
Ti 1.9080 1.9105 1.9232
Ti 1.9261 5.7489 1.8512
Ti 1.9243 9.6559 1.8429
Ti 1.9226 13.5629 1.8512
Ti 1.9407 17.4013 1.9232
Ti 5.7894 21.2223 5.8206
Ti 5.7713 25.0607 5.7486
Ti 5.7730 28.9677 5.7403
Ti 5.7748 32.8747 5.7486
Ti 5.7567 36.7131 5.8206
O 5.4347 19.3118 1.8600
O 2.2331 3.8337 1.8949
O 5.9680 13.5721 3.8309
O 3.8487 13.8267 1.9879
O 3.8487 17.0724 1.6232
O 5.5564 17.4035 3.8070
O 1.7021 7.7035 1.8863
O 2.1466 11.6083 1.8863
O 3.8487 21.5512 1.6232
O 5.5564 21.2201 3.8070
O 5.9680 25.0514 3.8309
O 3.8487 24.7969 1.9879
O 1.6156 15.4781 1.8949
O 2.2627 19.3118 1.8600
O 1.9243 9.6559 3.8206
O 3.8487 9.8750 5.7616
O 3.8487 13.2907 5.6716
O 1.7294 13.5721 3.8309
O 5.4643 23.1455 5.7923
O 2.1410 17.4035 3.8070
O 5.9953 27.0153 5.7837
O 3.8487 17.7137 5.9312
O 2.1410 21.2201 3.8070
O 3.8487 20.9099 5.9312
O 5.5508 30.9201 5.7837
O 6.0818 34.7899 5.7923
O 3.8487 25.3329 5.6716
O 1.7294 25.0514 3.8309
O 3.8487 28.7486 5.7616
O 5.7730 28.9677 7.7180
```

Results
* electronic total energy: -747.56 eV/f.u.
* formation energy (no corrections): -3.39 eV/atom
* density of states at the Fermi level: 0.00 states/eV/atom

No. 12
LiNiPS2: PBEsol geometry, SCAN.

Structure (extended XYZ):
```
5
Lattice="4.2665 0.0000 0.0000 0.0000 4.2665 0.0000 0.0000 0.0000 4.1086" Properties=species:S:1:pos:R:3 pbc="T T T"
Li 0.0000 0.0000 0.0000
Ni 2.1332 2.1332 2.0543
P 0.0000 0.0000 2.0543
S 0.0000 2.1332 0.0000
S 2.1332 0.0000 0.0000
```

Results
* electronic total energy: -43.52 eV/f.u.
* formation energy (no corrections): 0.94 eV/atom
* density of states at the Fermi level: 0.94 states/eV/atom